VASP calculation (PBE) on a relaxed ScCrSi2 crystal.

Output
Offset from the most stable computed form = 0.149 eV/atom
DOS(E_F) = 0.59 states/eV/atom
Space-group type = No. 119
Energy relative to the elements, uncorrected = -247 meV/atom

Cell: 5.0529 5.0529 5.0529 Å, 136.24 136.24 63.61°
Atoms (fractional coordinates):
Sc (0.0000, 0.0000, 0.0000)
Cr (0.2500, 0.7500, 0.5000)
Si (0.5000, 0.5000, 0.0000)
Si (0.7500, 0.2500, 0.5000)


VASP calculation (PBE) on a relaxed ScCrSi2 crystal.

Output
Offset from the most stable computed form = 0.000 eV/atom
DOS(E_F) = 0.58 states/eV/atom
Space-group type = No. 12
Energy relative to the elements, uncorrected = -396 meV/atom

Cell: 4.2217 4.2217 4.9286 Å, 108.66 108.66 48.79°
Atoms (fractional coordinates):
Sc (0.0000, 0.0000, 0.0000)
Cr (0.5000, 0.5000, 0.5000)
Si (0.2326, 0.2326, 0.6603)
Si (0.7674, 0.7674, 0.3397)


VASP calculation (PBE) on a relaxed ScCrSi2 crystal.

Output
Offset from the most stable computed form = 0.207 eV/atom
DOS(E_F) = 0.70 states/eV/atom
Space-group type = No. 139
Energy relative to the elements, uncorrected = -189 meV/atom

Cell: 4.6334 4.6334 4.6334 Å, 128.74 128.74 75.42°
Atoms (fractional coordinates):
Sc (0.0000, 0.0000, 0.0000)
Cr (0.5000, 0.5000, 0.0000)
Si (0.2500, 0.7500, 0.5000)
Si (0.7500, 0.2500, 0.5000)


VASP calculation (PBE) on a relaxed ScCr2Si crystal.

Output
DOS(E_F) = 0.70 states/eV/atom
Space-group type = No. 6
Energy relative to the elements, uncorrected = -63 meV/atom

Cell: 3.0477 4.1221 4.9493 Å, 90.00 102.93 90.00°
Atoms (fractional coordinates):
Sc (0.0000, 0.0000, 0.0000)
Cr (0.2432, 0.5000, 0.6038)
Cr (0.6296, 0.0000, 0.4883)
Si (0.5660, 0.5000, 0.1867)


VASP calculation (PBE) on a relaxed ScCrSi2 crystal.

Output
Offset from the most stable computed form = 0.291 eV/atom
DOS(E_F) = 1.03 states/eV/atom
Space-group type = No. 225
Energy relative to the elements, uncorrected = -105 meV/atom

Cell: 4.3686 4.3686 4.3686 Å, 60.00 60.00 60.00°
Atoms (fractional coordinates):
Sc (0.0000, 0.0000, 0.0000)
Cr (0.5000, 0.5000, 0.5000)
Si (0.2500, 0.2500, 0.2500)
Si (0.7500, 0.7500, 0.7500)


VASP calculation (PBE) on a relaxed ScCr2Si crystal.

Output
DOS(E_F) = 1.44 states/eV/atom
Space-group type = No. 166
Energy relative to the elements, uncorrected = 353 meV/atom

Cell: 8.5445 8.5445 8.5445 Å, 19.29 19.29 19.29°
Atoms (fractional coordinates):
Sc (0.0000, 0.0000, 0.0000)
Cr (0.2418, 0.2418, 0.2418)
Cr (0.7582, 0.7582, 0.7582)
Si (0.5000, 0.5000, 0.5000)